Entry 1:
First-principles (GGA-PBE) data for a relaxed BaRe2Pb crystal, as listed in the Alexandria database.

Summary:
Space group = P2/m (10)
Density of states at the Fermi level = 0.944 states/eV per atom
ΔE_f = 1.1569 eV/atom

a b c (Å): 5.3206 2.9783 6.4533
angles (deg): 89.61 90.00 90.00
Closest atoms and distances in Å follow each position.
Positions (direct):
Pb: 0.5000 0.7500 0.7500  4 Re 2.90, 2 Pb 2.98
Re: 0.0000 0.8315 0.9241  1 Re 2.30
Re: 0.0000 0.6685 0.5759  1 Re 2.30
Ba: 0.5000 0.2500 0.2500  2 Ba 2.98

***

Entry 2:
First-principles (GGA-PBE) data for a relaxed BaRe2Pb crystal, as listed in the Alexandria database.

Summary:
Space group = P4mm (99)
Density of states at the Fermi level = 0.618 states/eV per atom
ΔE_f = 0.4307 eV/atom

a b c (Å): 3.2284 3.2284 9.0331
angles (deg): 90.00 90.00 90.00
Closest atoms and distances in Å follow each position.
Positions (direct):
Pb: 0.5000 0.5000 0.8087  5 Re 3.12-3.38, 4 Pb 3.23
Re: 0.0000 0.0000 0.0435  4 Re 2.61
Re: 0.5000 0.5000 0.1833  4 Re 2.61
Ba: 0.0000 0.0000 0.4645  4 Ba 3.23, 4 Re 3.41

***

Entry 3:
First-principles (GGA-PBE) data for a relaxed BaRe2Pb crystal, as listed in the Alexandria database.

Summary:
Space group = C2/m (12)
Density of states at the Fermi level = 0.876 states/eV per atom
ΔE_f = 0.7776 eV/atom

a b c (Å): 5.4444 5.4444 6.1620
angles (deg): 75.88 75.88 40.41
Closest atoms and distances in Å follow each position.
Positions (direct):
Pb: 0.2500 0.2500 0.2500  6 Re 2.91-3.03
Re: 0.9904 0.9904 0.1366  2 Re 2.38
Re: 0.5096 0.5096 0.3634  2 Re 2.38
Ba: 0.7500 0.7500 0.7500  8 Re 3.60-3.94, 4 Pb 3.61, 2 Ba 3.76

***

Entry 4:
First-principles (GGA-PBE) data for a relaxed BaRe2Pb crystal, as listed in the Alexandria database.

Summary:
Space group = Immm (71)
Density of states at the Fermi level = 1.151 states/eV per atom
ΔE_f = 1.5436 eV/atom

a b c (Å): 6.3401 6.3401 6.3401
angles (deg): 153.24 127.26 60.11
Closest atoms and distances in Å follow each position.
Positions (direct):
Pb: 0.2500 0.7500 0.5000  4 Re 2.85, 2 Pb 2.93, 4 Ba 3.18
Re: 0.0271 0.0271 0.0000  2 Pb 2.85, 2 Re 2.93
Re: 0.4729 0.4729 0.0000  2 Pb 2.85, 2 Re 2.93
Ba: 0.7500 0.2500 0.5000  2 Ba 2.93, 4 Pb 3.18